A plane-wave DFT calculation with PBE was carried out for a geometry-optimized CrTc2Cl structure.

The structure in CIF format:
```
data_CrTc2Cl
_chemical_formula_sum 'Cr4 Tc8 Cl4'
_cell_length_a 6.151
_cell_length_b 6.151
_cell_length_c 6.151
_cell_angle_alpha 90.00
_cell_angle_beta 90.00
_cell_angle_gamma 90.00
_symmetry_space_group_name_H-M 'F -4 3 m'
_symmetry_Int_Tables_number 216
_symmetry_space_group_name_Hall 'F -4 2 3'
loop_
_atom_site_label
_atom_site_fract_x
_atom_site_fract_y
_atom_site_fract_z
Cr1 0.000 0.000 0.000
Tc1 0.000 0.000 0.500
Tc2 0.250 0.250 0.250
Cl1 0.250 0.250 0.750
```

Calculated values
VASP energy in eV per atom: -7.116
ΔE_f (raw) in eV/atom: 0.935

A plane-wave DFT calculation with PBE was carried out for a geometry-optimized CrTc2Cl structure.

The structure in CIF format:
```
data_CrTc2Cl
_chemical_formula_sum 'Cr1 Tc2 Cl1'
_cell_length_a 2.945
_cell_length_b 3.736
_cell_length_c 6.929
_cell_angle_alpha 90.00
_cell_angle_beta 90.00
_cell_angle_gamma 90.00
_symmetry_space_group_name_H-M 'P m m 2'
_symmetry_Int_Tables_number 25
loop_
_symmetry_equiv_pos_as_xyz
'x,y,z'
'-x,-y,z'
'-x,y,z'
'x,-y,z'
loop_
_atom_site_label
_atom_site_fract_x
_atom_site_fract_y
_atom_site_fract_z
Cr1 0.000 0.000 0.000
Tc1 0.000 0.000 0.312
Tc2 0.500 0.500 0.144
Cl1 0.500 0.500 0.797
```

Calculated values
VASP energy in eV per atom: -7.583
ΔE_f (raw) in eV/atom: 0.467

A plane-wave DFT calculation with PBE was carried out for a geometry-optimized CrTc2Cl structure.

The structure in CIF format:
```
data_CrTc2Cl
_chemical_formula_sum 'Cr1 Tc2 Cl1'
_cell_length_a 2.860
_cell_length_b 4.439
_cell_length_c 4.549
_cell_angle_alpha 90.00
_cell_angle_beta 90.00
_cell_angle_gamma 90.00
_symmetry_space_group_name_H-M 'P m m m'
_symmetry_Int_Tables_number 47
loop_
_symmetry_equiv_pos_as_xyz
'x,y,z'
'-x,-y,-z'
'-x,-y,z'
'x,y,-z'
'x,-y,-z'
'-x,y,z'
'-x,y,-z'
'x,-y,z'
loop_
_atom_site_label
_atom_site_fract_x
_atom_site_fract_y
_atom_site_fract_z
Cr1 0.000 0.000 0.000
Tc1 0.000 0.500 0.500
Tc2 0.500 0.500 0.000
Cl1 0.500 0.000 0.500
```

Calculated values
VASP energy in eV per atom: -7.306
ΔE_f (raw) in eV/atom: 0.744

A plane-wave DFT calculation with PBE was carried out for a geometry-optimized Cr2TcCl structure.

The structure in CIF format:
```
data_Cr2TcCl
_chemical_formula_sum 'Cr2 Tc1 Cl1'
_cell_length_a 2.890
_cell_length_b 4.350
_cell_length_c 4.362
_cell_angle_alpha 90.00
_cell_angle_beta 90.00
_cell_angle_gamma 90.00
_symmetry_space_group_name_H-M 'P m m m'
_symmetry_Int_Tables_number 47
loop_
_symmetry_equiv_pos_as_xyz
'x,y,z'
'-x,-y,-z'
'-x,-y,z'
'x,y,-z'
'x,-y,-z'
'-x,y,z'
'-x,y,-z'
'x,-y,z'
loop_
_atom_site_label
_atom_site_fract_x
_atom_site_fract_y
_atom_site_fract_z
Cr1 0.000 0.000 0.000
Cr2 0.500 0.000 0.500
Tc1 0.000 0.500 0.500
Cl1 0.500 0.500 0.000
```

Calculated values
VASP energy in eV per atom: -7.178
ΔE_f (raw) in eV/atom: 0.687

A plane-wave DFT calculation with PBE was carried out for a geometry-optimized Cr2TcCl structure.

The structure in CIF format:
```
data_Cr2TcCl
_chemical_formula_sum 'Cr2 Tc1 Cl1'
_cell_length_a 2.945
_cell_length_b 3.048
_cell_length_c 7.078
_cell_angle_alpha 90.00
_cell_angle_beta 90.00
_cell_angle_gamma 90.00
_symmetry_space_group_name_H-M 'P m m m'
_symmetry_Int_Tables_number 47
loop_
_symmetry_equiv_pos_as_xyz
'x,y,z'
'-x,-y,-z'
'-x,-y,z'
'x,y,-z'
'x,-y,-z'
'-x,y,z'
'-x,y,-z'
'x,-y,z'
loop_
_atom_site_label
_atom_site_fract_x
_atom_site_fract_y
_atom_site_fract_z
Cr1 0.000 0.000 0.212
Tc1 0.500 0.500 0.000
Cl1 0.500 0.000 0.500
```

Calculated values
VASP energy in eV per atom: -7.698
ΔE_f (raw) in eV/atom: 0.167

A plane-wave DFT calculation with PBE was carried out for a geometry-optimized CrTc2Cl structure.

The structure in CIF format:
```
data_CrTc2Cl
_chemical_formula_sum 'Cr1 Tc2 Cl1'
_cell_length_a 2.855
_cell_length_b 3.989
_cell_length_c 5.261
_cell_angle_alpha 90.00
_cell_angle_beta 104.52
_cell_angle_gamma 90.00
_symmetry_space_group_name_H-M 'P 1 2/m 1'
_symmetry_Int_Tables_number 10
loop_
_symmetry_equiv_pos_as_xyz
'x,y,z'
'-x,-y,-z'
'-x,y,-z'
'x,-y,z'
loop_
_atom_site_label
_atom_site_fract_x
_atom_site_fract_y
_atom_site_fract_z
Cr1 0.000 0.000 0.000
Tc1 0.349 0.500 0.764
Cl1 0.000 0.000 0.500
```

Calculated values
VASP energy in eV per atom: -7.478
ΔE_f (raw) in eV/atom: 0.573

A plane-wave DFT calculation with PBE was carried out for a geometry-optimized Cr2TcCl structure.

The structure in CIF format:
```
data_Cr2TcCl
_chemical_formula_sum 'Cr4 Tc2 Cl2'
_cell_length_a 5.609
_cell_length_b 6.968
_cell_length_c 2.905
_cell_angle_alpha 90.00
_cell_angle_beta 90.00
_cell_angle_gamma 90.00
_symmetry_space_group_name_H-M 'C m m m'
_symmetry_Int_Tables_number 65
_symmetry_space_group_name_Hall '-C 2 2'
loop_
_atom_site_label
_atom_site_fract_x
_atom_site_fract_y
_atom_site_fract_z
Cr1 0.250 0.250 0.000
Tc1 0.000 0.000 0.500
Cl1 0.000 0.500 0.500
```

Calculated values
VASP energy in eV per atom: -7.140
ΔE_f (raw) in eV/atom: 0.725

A plane-wave DFT calculation with PBE was carried out for a geometry-optimized CrTc2Cl structure.

The structure in CIF format:
```
data_CrTc2Cl
_chemical_formula_sum 'Cr2 Tc4 Cl2'
_cell_length_a 9.890
_cell_length_b 2.899
_cell_length_c 4.199
_cell_angle_alpha 90.00
_cell_angle_beta 93.25
_cell_angle_gamma 90.00
_symmetry_space_group_name_H-M 'C 1 2/m 1'
_symmetry_Int_Tables_number 12
loop_
_symmetry_equiv_pos_as_xyz
'x,y,z'
'-x,-y,-z'
'-x,y,-z'
'x,-y,z'
'x+1/2,y+1/2,z'
'-x+1/2,-y+1/2,-z'
'-x+1/2,y+1/2,-z'
'x+1/2,-y+1/2,z'
loop_
_atom_site_label
_atom_site_fract_x
_atom_site_fract_y
_atom_site_fract_z
Cr1 0.000 0.000 0.000
Tc1 0.210 0.500 0.220
Cl1 0.000 0.500 0.500
```

Calculated values
VASP energy in eV per atom: -7.578
ΔE_f (raw) in eV/atom: 0.473

A plane-wave DFT calculation with PBE was carried out for a geometry-optimized CrTc2Cl structure.

The structure in CIF format:
```
data_CrTc2Cl
_chemical_formula_sum 'Cr2 Tc4 Cl2'
_cell_length_a 2.870
_cell_length_b 4.389
_cell_length_c 8.947
_cell_angle_alpha 90.00
_cell_angle_beta 90.00
_cell_angle_gamma 90.00
_symmetry_space_group_name_H-M 'I m m m'
_symmetry_Int_Tables_number 71
_symmetry_space_group_name_Hall '-I 2 2'
loop_
_atom_site_label
_atom_site_fract_x
_atom_site_fract_y
_atom_site_fract_z
Cr1 0.000 0.000 0.000
Tc1 0.000 0.500 0.228
Cl1 0.000 0.000 0.500
```

Calculated values
VASP energy in eV per atom: -7.441
ΔE_f (raw) in eV/atom: 0.609

A plane-wave DFT calculation with PBE was carried out for a geometry-optimized CrTc2Cl structure.

The structure in CIF format:
```
data_CrTc2Cl
_chemical_formula_sum 'Cr2 Tc4 Cl2'
_cell_length_a 3.055
_cell_length_b 4.800
_cell_length_c 8.441
_cell_angle_alpha 90.00
_cell_angle_beta 90.00
_cell_angle_gamma 90.00
_symmetry_space_group_name_H-M 'C m m 2'
_symmetry_Int_Tables_number 35
loop_
_symmetry_equiv_pos_as_xyz
'x,y,z'
'-x,-y,z'
'-x,y,z'
'x,-y,z'
'x+1/2,y+1/2,z'
'-x+1/2,-y+1/2,z'
'-x+1/2,y+1/2,z'
'x+1/2,-y+1/2,z'
loop_
_atom_site_label
_atom_site_fract_x
_atom_site_fract_y
_atom_site_fract_z
Cr1 0.000 0.000 0.000
Tc1 0.000 0.000 0.481
Tc2 0.000 0.500 0.240
Cl1 0.000 0.500 0.778
```

Calculated values
VASP energy in eV per atom: -7.576
ΔE_f (raw) in eV/atom: 0.475

A plane-wave DFT calculation with PBE was carried out for a geometry-optimized Cr2TcCl structure.

The structure in CIF format:
```
data_Cr2TcCl
_chemical_formula_sum 'Cr6 Tc3 Cl3'
_cell_length_a 2.7755
_cell_length_b 2.7755
_cell_length_c 23.9667
_cell_angle_alpha 90.00
_cell_angle_beta 90.00
_cell_angle_gamma 120.00
_symmetry_space_group_name_H-M 'R -3 m'
_symmetry_Int_Tables_number 166
_symmetry_space_group_name_Hall '-R 3 2"'
loop_
_atom_site_label
_atom_site_fract_x
_atom_site_fract_y
_atom_site_fract_z
Cr1 0.0000 0.0000 0.2472
Tc1 0.0000 0.0000 0.0000
Cl1 0.0000 0.0000 0.5000
```

Calculated values
VASP energy in eV per atom: -7.497
ΔE_f (raw) in eV/atom: 0.368

A plane-wave DFT calculation with PBE was carried out for a geometry-optimized Cr2TcCl structure.

The structure in CIF format:
```
data_Cr2TcCl
_chemical_formula_sum 'Cr2 Tc1 Cl1'
_cell_length_a 2.934
_cell_length_b 3.522
_cell_length_c 6.704
_cell_angle_alpha 90.00
_cell_angle_beta 100.48
_cell_angle_gamma 90.00
_symmetry_space_group_name_H-M 'P 1 m 1'
_symmetry_Int_Tables_number 6
loop_
_symmetry_equiv_pos_as_xyz
'x,y,z'
'x,-y,z'
loop_
_atom_site_label
_atom_site_fract_x
_atom_site_fract_y
_atom_site_fract_z
Cr1 0.000 0.000 0.000
Cr2 0.499 0.500 0.853
Tc1 0.636 0.500 0.179
Cl1 0.762 0.000 0.640
```

Calculated values
VASP energy in eV per atom: -7.454
ΔE_f (raw) in eV/atom: 0.411

A plane-wave DFT calculation with PBE was carried out for a geometry-optimized CrTc2Cl structure.

The structure in CIF format:
```
data_CrTc2Cl
_chemical_formula_sum 'Cr1 Tc2 Cl1'
_cell_length_a 2.948
_cell_length_b 3.743
_cell_length_c 6.479
_cell_angle_alpha 90.00
_cell_angle_beta 99.98
_cell_angle_gamma 90.00
_symmetry_space_group_name_H-M 'P 1 m 1'
_symmetry_Int_Tables_number 6
loop_
_symmetry_equiv_pos_as_xyz
'x,y,z'
'x,-y,z'
loop_
_atom_site_label
_atom_site_fract_x
_atom_site_fract_y
_atom_site_fract_z
Cr1 0.000 0.000 0.000
Tc1 0.125 0.000 0.343
Tc2 0.523 0.500 0.155
Cl1 0.212 0.500 0.780
```

Calculated values
VASP energy in eV per atom: -7.596
ΔE_f (raw) in eV/atom: 0.454

A plane-wave DFT calculation with PBE was carried out for a geometry-optimized CrTcCl3 structure.

The structure in CIF format:
```
data_CrTcCl3
_chemical_formula_sum 'Cr1 Tc1 Cl3'
_cell_length_a 4.815
_cell_length_b 4.815
_cell_length_c 4.815
_cell_angle_alpha 90.00
_cell_angle_beta 90.00
_cell_angle_gamma 90.00
_symmetry_space_group_name_H-M 'P m -3 m'
_symmetry_Int_Tables_number 221
_symmetry_space_group_name_Hall '-P 4 2 3'
loop_
_atom_site_label
_atom_site_fract_x
_atom_site_fract_y
_atom_site_fract_z
Cr1 0.000 0.000 0.000
Tc1 0.500 0.500 0.500
Cl1 0.000 0.500 0.500
```

Calculated values
VASP energy in eV per atom: -4.845
ΔE_f (raw) in eV/atom: 0.261

A plane-wave DFT calculation with PBE was carried out for a geometry-optimized CrTc2Cl structure.

The structure in CIF format:
```
data_CrTc2Cl
_chemical_formula_sum 'Cr1 Tc2 Cl1'
_cell_length_a 2.857
_cell_length_b 2.857
_cell_length_c 6.938
_cell_angle_alpha 90.00
_cell_angle_beta 90.00
_cell_angle_gamma 90.00
_symmetry_space_group_name_H-M 'P 4 m m'
_symmetry_Int_Tables_number 99
loop_
_symmetry_equiv_pos_as_xyz
'x,y,z'
'-y,x,z'
'-x,-y,z'
'y,-x,z'
'-x,y,z'
'y,x,z'
'x,-y,z'
'-y,-x,z'
loop_
_atom_site_label
_atom_site_fract_x
_atom_site_fract_y
_atom_site_fract_z
Cr1 0.000 0.000 0.000
Tc1 0.000 0.000 0.501
Tc2 0.500 0.500 0.262
Cl1 0.500 0.500 0.780
```

Calculated values
VASP energy in eV per atom: -7.712
ΔE_f (raw) in eV/atom: 0.338